w:
Below is a geometry-optimized Y8RhAu2 structure, with properties calculated at the PBE level.

Summary:
As for the space-group type: C2/m, No. 12. Its size of the total moment is 0.000 μB per cell.

abc: 5.145 6.813 9.148
angles: 104.80 106.33 90.00
Fractional coordinates of all 11 atoms:
Y 0.030 0.788 0.060
Y 0.411 0.562 0.822
Y 0.970 0.212 0.940
Y 0.202 0.317 0.405
Y 0.589 0.438 0.178
Y 0.339 0.030 0.679
Y 0.798 0.683 0.595
Y 0.661 0.970 0.321
Au 0.812 0.273 0.624
Au 0.188 0.727 0.376
Rh 0.500 0.000 0.000

***

x:
Below is a geometry-optimized Y8RhAu2 structure, with properties calculated at the PBE level.

Summary:
As for the space-group type: Cm, No. 8. Its size of the total moment is 0.000 μB per cell.

abc: 5.979 8.178 8.178
angles: 119.96 102.75 102.75
Fractional coordinates of all 11 atoms:
Y 0.981 0.801 0.187
Y 0.339 0.649 0.892
Y 0.339 0.892 0.649
Y 0.608 0.351 0.113
Y 0.782 0.648 0.648
Y 0.981 0.187 0.801
Y 0.608 0.113 0.351
Y 0.187 0.356 0.356
Au 0.511 0.723 0.313
Au 0.511 0.313 0.723
Rh 0.154 0.002 0.002

***

Looking at the structures above, w is most stable, and the difference to the next one is 0.125 eV/atom.